Record 1
Computed, not measured: a relaxed MgTeI2 crystal at the PBE-GGA level of DFT.

extended XYZ file:
```
4
Lattice="2.814 -2.884 3.869 -2.540 -4.090 2.832 1.384 -5.328 -0.946" Properties=species:S:1:pos:R:3 pbc="T T T"
Mg 0.000 0.000 0.000
Te 0.829 -6.151 2.877
I 0.414 -3.076 1.439
I 1.243 -9.227 4.316
```

Properties
Formation energy from raw total energies (meV/atom): 127
Calculated density (g/cm³): 5.5

=====

Record 2
Computed, not measured: a relaxed MgTiTeI2 crystal at the PBE-GGA level of DFT.

extended XYZ file:
```
5
Lattice="5.500 0.000 0.000 0.000 5.500 0.000 0.000 0.000 5.791" Properties=species:S:1:pos:R:3 pbc="T T T"
Ti 2.750 2.750 2.896
I 2.750 0.000 0.000
I 0.000 2.750 0.000
Mg 0.000 0.000 0.000
Te 0.000 0.000 2.896
```

Properties
Formation energy from raw total energies (meV/atom): 141
Calculated density (g/cm³): 4.3

=====

Record 3
Computed, not measured: a relaxed MgTiTeI2 crystal at the PBE-GGA level of DFT.

extended XYZ file:
```
5
Lattice="5.616 0.000 0.000 0.000 5.616 0.000 0.000 0.000 5.419" Properties=species:S:1:pos:R:3 pbc="T T T"
Mg 2.808 2.808 2.709
I 0.000 2.808 0.000
I 2.808 0.000 0.000
Te 0.000 0.000 2.709
Ti 0.000 0.000 0.000
```

Properties
Formation energy from raw total energies (meV/atom): -215
Calculated density (g/cm³): 4.4

=====

Record 4
Computed, not measured: a relaxed MgTlTe2I crystal at the PBE-GGA level of DFT.

extended XYZ file:
```
5
Lattice="-2.537 4.623 1.659 1.617 -0.977 5.195 5.011 3.100 -0.977" Properties=species:S:1:pos:R:3 pbc="T T T"
I 2.506 1.550 -0.488
Te -1.268 2.311 0.829
Te 0.808 -0.488 2.598
Mg 0.000 0.000 0.000
Tl 2.046 3.373 2.939
```

Properties
Formation energy from raw total energies (meV/atom): -234
Calculated density (g/cm³): 5.6

=====

Record 5
Computed, not measured: a relaxed MgTlTeI crystal at the PBE-GGA level of DFT.

extended XYZ file:
```
4
Lattice="-0.157 -2.939 3.563 3.510 -0.177 3.006 -3.684 5.864 4.683" Properties=species:S:1:pos:R:3 pbc="T T T"
Te 2.923 0.611 3.712
Mg 0.973 -0.945 2.344
I -1.512 2.965 5.454
Tl 0.566 0.404 6.430
```

Properties
Formation energy from raw total energies (meV/atom): -723
Calculated density (g/cm³): 5.2

=====

Record 6
Computed, not measured: a relaxed MgTlTe2I crystal at the PBE-GGA level of DFT.

extended XYZ file:
```
5
Lattice="5.801 0.000 0.000 0.000 5.801 0.000 0.000 0.000 5.988" Properties=species:S:1:pos:R:3 pbc="T T T"
I 0.000 0.000 2.994
Te 0.000 2.901 0.000
Te 2.901 0.000 0.000
Mg 2.901 2.901 2.994
Tl 0.000 0.000 0.000
```

Properties
Formation energy from raw total energies (meV/atom): 323
Calculated density (g/cm³): 5.0